(1)
VASP calculation (PBE) on Ba2NaAg2 after structural relaxation.

```
data_Ba2NaAg2
_chemical_formula_sum 'Ba4 Na2 Ag4'
_cell_length_a 9.630
_cell_length_b 9.630
_cell_length_c 4.068
_cell_angle_alpha 90.00
_cell_angle_beta 90.00
_cell_angle_gamma 90.00
_space_group_name_H-M_alt 'P 1'
_space_group_IT_number 1
_space_group_name_Hall 'P 1'
loop_
_atom_site_label
_atom_site_type_symbol
_atom_site_fract_x
_atom_site_fract_y
_atom_site_fract_z
Ba1 Ba 0.153 0.347 0.000
Ba2 Ba 0.347 0.847 0.000
Ba3 Ba 0.653 0.153 0.000
Ba4 Ba 0.847 0.653 0.000
Na1 Na 0.000 0.000 0.000
Na2 Na 0.500 0.500 0.000
Ag1 Ag 0.137 0.637 0.500
Ag2 Ag 0.363 0.137 0.500
Ag3 Ag 0.637 0.863 0.500
Ag4 Ag 0.863 0.363 0.500
```

Output
**Volume**: 377.3 Å³ per cell
**SG**: P4/mbm, No. 127
**Energy of formation from the pure elements**: -72 meV per atom
**Total moment**: 0.00 μB per cell
**E**: -2.245 eV/atom

(2)
VASP calculation (PBE) on BaNa3Ag after structural relaxation.

```
data_BaNa3Ag
_chemical_formula_sum 'Ba1 Na3 Ag1'
_cell_length_a 5.805
_cell_length_b 5.805
_cell_length_c 5.805
_cell_angle_alpha 90.00
_cell_angle_beta 90.00
_cell_angle_gamma 90.00
_space_group_name_H-M_alt 'P 1'
_space_group_IT_number 1
_space_group_name_Hall 'P 1'
loop_
_atom_site_label
_atom_site_type_symbol
_atom_site_fract_x
_atom_site_fract_y
_atom_site_fract_z
Ba1 Ba 0.000 0.000 0.000
Na1 Na 0.000 0.500 0.500
Na2 Na 0.500 0.000 0.500
Na3 Na 0.500 0.500 0.000
Ag1 Ag 0.500 0.500 0.500
```

Output
**Volume**: 195.7 Å³ per cell
**SG**: Pm-3m, No. 221
**Energy of formation from the pure elements**: 70 meV per atom
**Total moment**: 0.00 μB per cell
**E**: -1.677 eV/atom

(3)
VASP calculation (PBE) on Ba7Na2Ag2 after structural relaxation.

```
data_Ba7Na2Ag2
_chemical_formula_sum 'Ba7 Na2 Ag2'
_cell_length_a 8.370
_cell_length_b 8.370
_cell_length_c 8.621
_cell_angle_alpha 90.00
_cell_angle_beta 90.00
_cell_angle_gamma 107.33
_space_group_name_H-M_alt 'P 1'
_space_group_IT_number 1
_space_group_name_Hall 'P 1'
loop_
_atom_site_label
_atom_site_type_symbol
_atom_site_fract_x
_atom_site_fract_y
_atom_site_fract_z
Ba1 Ba 0.000 0.000 0.000
Ba2 Ba 0.000 0.500 0.252
Ba3 Ba 0.000 0.500 0.748
Ba4 Ba 0.500 0.000 0.252
Ba5 Ba 0.500 0.000 0.748
Ba6 Ba 0.500 0.500 0.238
Ba7 Ba 0.500 0.500 0.762
Na1 Na 0.163 0.163 0.500
Na2 Na 0.837 0.837 0.500
Ag1 Ag 0.287 0.713 0.000
Ag2 Ag 0.713 0.287 0.000
```

Output
**Volume**: 576.5 Å³ per cell
**SG**: Cmmm, No. 65
**Energy of formation from the pure elements**: -31 meV per atom
**Total moment**: 0.00 μB per cell
**E**: -2.012 eV/atom

(4)
VASP calculation (PBE) on Ba3NaAg2 after structural relaxation.

```
data_Ba3NaAg2
_chemical_formula_sum 'Ba3 Na1 Ag2'
_cell_length_a 4.161
_cell_length_b 4.161
_cell_length_c 13.969
_cell_angle_alpha 90.00
_cell_angle_beta 90.00
_cell_angle_gamma 90.00
_space_group_name_H-M_alt 'P 1'
_space_group_IT_number 1
_space_group_name_Hall 'P 1'
loop_
_atom_site_label
_atom_site_type_symbol
_atom_site_fract_x
_atom_site_fract_y
_atom_site_fract_z
Ba1 Ba 0.000 0.000 0.000
Ba2 Ba 0.000 0.000 0.289
Ba3 Ba 0.000 0.000 0.711
Na1 Na 0.500 0.500 0.500
Ag1 Ag 0.500 0.500 0.151
Ag2 Ag 0.500 0.500 0.849
```

Output
**Volume**: 241.9 Å³ per cell
**SG**: P4/mmm, No. 123
**Energy of formation from the pure elements**: -163 meV per atom
**Total moment**: 0.00 μB per cell
**E**: -2.295 eV/atom

(5)
VASP calculation (PBE) on Ba7Na2Ag2 after structural relaxation.

```
data_Ba7Na2Ag2
_chemical_formula_sum 'Ba7 Na2 Ag2'
_cell_length_a 12.080
_cell_length_b 12.080
_cell_length_c 12.080
_cell_angle_alpha 158.20
_cell_angle_beta 63.46
_cell_angle_gamma 121.22
_space_group_name_H-M_alt 'P 1'
_space_group_IT_number 1
_space_group_name_Hall 'P 1'
loop_
_atom_site_label
_atom_site_type_symbol
_atom_site_fract_x
_atom_site_fract_y
_atom_site_fract_z
Ba1 Ba 0.000 0.000 0.000
Ba2 Ba 0.289 0.428 0.861
Ba3 Ba 0.305 0.621 0.684
Ba4 Ba 0.567 0.428 0.139
Ba5 Ba 0.616 0.265 0.351
Ba6 Ba 0.914 0.265 0.649
Ba7 Ba 0.938 0.621 0.316
Na1 Na 0.285 0.785 0.500
Na2 Na 0.648 0.648 0.000
Ag1 Ag 0.155 0.916 0.239
Ag2 Ag 0.678 0.916 0.761
```

Output
**Volume**: 556.5 Å³ per cell
**SG**: Imm2, No. 44
**Energy of formation from the pure elements**: -76 meV per atom
**Total moment**: 0.00 μB per cell
**E**: -2.058 eV/atom

(6)
VASP calculation (PBE) on BaNa2Ag2 after structural relaxation.

```
data_BaNa2Ag2
_chemical_formula_sum 'Ba1 Na2 Ag2'
_cell_length_a 6.352
_cell_length_b 6.352
_cell_length_c 6.059
_cell_angle_alpha 104.08
_cell_angle_beta 104.08
_cell_angle_gamma 44.78
_space_group_name_H-M_alt 'P 1'
_space_group_IT_number 1
_space_group_name_Hall 'P 1'
loop_
_atom_site_label
_atom_site_type_symbol
_atom_site_fract_x
_atom_site_fract_y
_atom_site_fract_z
Ba1 Ba 0.000 0.000 0.000
Na1 Na 0.341 0.341 0.423
Na2 Na 0.659 0.659 0.577
Ag1 Ag 0.277 0.277 0.897
Ag2 Ag 0.723 0.723 0.103
```

Output
**Volume**: 166.1 Å³ per cell
**SG**: C2/m, No. 12
**Energy of formation from the pure elements**: -125 meV per atom
**Total moment**: 0.00 μB per cell
**E**: -2.178 eV/atom

Q: Which formula does entry 6 have?
A: BaNa2Ag2